VS2ClO8 | PBE+U | optimized geometry

Summary:
Magnetic moment (μB per formula unit): 1.98
Raw total energy (eV per cell): -71.43
Calculated volume (Å³/cell): 190.91

Geometry as POSCAR:
```
VS2ClO8
1.0
-2.981 3.474 -1.620
-0.640 0.106 -4.812
-8.316 -4.241 -1.624
O S Cl V
8 2 1 1
Cartesian
-8.825 -3.147 -3.151
-3.112 2.486 -4.905
-9.487 -0.972 -3.968
-4.829 0.777 -4.360
-3.536 1.874 -2.606
-2.450 0.311 -4.088
-8.401 -2.534 -5.450
-7.108 -1.437 -3.696
-3.565 1.336 -4.023
-8.372 -1.997 -4.032
-4.158 -2.120 -0.812
0.000 0.000 0.000
```